No. 1
A plane-wave DFT calculation with GGA-PBE was carried out for an optimized crystal structure of Tb2DyMn.

Values from the calculation:
Energy relative to the lowest polymorph listed for this composition (kcal/mol of atoms): 2.68

CIF file:
```
data_Tb2DyMn
_chemical_formula_sum 'Tb2 Dy1 Mn1'
_symmetry_space_group_name_H-M 'P 1'
_symmetry_Int_Tables_number 1
_cell_length_a 3.4806
_cell_length_b 3.4806
_cell_length_c 10.7021
_cell_angle_alpha 80.64
_cell_angle_beta 80.64
_cell_angle_gamma 60.00
loop_
_symmetry_equiv_pos_as_xyz
'x,y,z'
loop_
_atom_site_label
_atom_site_type_symbol
_atom_site_fract_x
_atom_site_fract_y
_atom_site_fract_z
Mn1 Mn 0.0000 0.0000 0.0000
Dy1 Dy 0.5000 0.5000 0.5000
Tb1 Tb 0.7392 0.7392 0.7823
Tb2 Tb 0.2608 0.2608 0.2177
```


No. 2
A plane-wave DFT calculation with GGA-PBE was carried out for an optimized crystal structure of TbDy2Mn.

Values from the calculation:
Energy relative to the lowest polymorph listed for this composition (kcal/mol of atoms): 2.35

CIF file:
```
data_TbDy2Mn
_chemical_formula_sum 'Tb1 Dy2 Mn1'
_symmetry_space_group_name_H-M 'P 1'
_symmetry_Int_Tables_number 1
_cell_length_a 4.7782
_cell_length_b 4.7491
_cell_length_c 4.7491
_cell_angle_alpha 90.00
_cell_angle_beta 90.00
_cell_angle_gamma 90.00
loop_
_symmetry_equiv_pos_as_xyz
'x,y,z'
loop_
_atom_site_label
_atom_site_type_symbol
_atom_site_fract_x
_atom_site_fract_y
_atom_site_fract_z
Mn1 Mn 0.5000 0.5000 0.5000
Dy1 Dy 0.0000 0.5000 0.0000
Tb1 Tb 0.5000 0.0000 0.0000
Dy2 Dy 0.0000 0.0000 0.5000
```


No. 3
A plane-wave DFT calculation with GGA-PBE was carried out for an optimized crystal structure of TbDy2Mn.

Values from the calculation:
Energy relative to the lowest polymorph listed for this composition (kcal/mol of atoms): 8.92

CIF file:
```
data_TbDy2Mn
_chemical_formula_sum 'Tb1 Dy2 Mn1'
_symmetry_space_group_name_H-M 'P 1'
_symmetry_Int_Tables_number 1
_cell_length_a 3.3944
_cell_length_b 3.3944
_cell_length_c 11.4778
_cell_angle_alpha 81.50
_cell_angle_beta 81.50
_cell_angle_gamma 60.00
loop_
_symmetry_equiv_pos_as_xyz
'x,y,z'
loop_
_atom_site_label
_atom_site_type_symbol
_atom_site_fract_x
_atom_site_fract_y
_atom_site_fract_z
Tb1 Tb 0.5000 0.5000 0.5000
Mn1 Mn 0.0000 0.0000 0.0000
Dy1 Dy 0.0815 0.0815 0.7554
Dy2 Dy 0.9185 0.9185 0.2446
```


No. 4
A plane-wave DFT calculation with GGA-PBE was carried out for an optimized crystal structure of TbDyMn4.

CIF file:
```
data_TbDyMn4
_chemical_formula_sum 'Tb1 Dy1 Mn4'
_symmetry_space_group_name_H-M 'P 1'
_symmetry_Int_Tables_number 1
_cell_length_a 5.1079
_cell_length_b 5.1079
_cell_length_c 5.1079
_cell_angle_alpha 60.00
_cell_angle_beta 60.00
_cell_angle_gamma 60.00
loop_
_symmetry_equiv_pos_as_xyz
'x,y,z'
loop_
_atom_site_label
_atom_site_type_symbol
_atom_site_fract_x
_atom_site_fract_y
_atom_site_fract_z
Mn1 Mn 0.6250 0.6250 0.1251
Tb1 Tb 0.0000 0.0000 0.0000
Mn2 Mn 0.1251 0.6250 0.6250
Mn3 Mn 0.6250 0.1251 0.6250
Mn4 Mn 0.6250 0.6250 0.6250
Dy1 Dy 0.2500 0.2500 0.2500
```


No. 5
A plane-wave DFT calculation with GGA-PBE was carried out for an optimized crystal structure of TbDyMn.

Values from the calculation:
Energy relative to the lowest polymorph listed for this composition (kcal/mol of atoms): 0.00

CIF file:
```
data_TbDyMn
_chemical_formula_sum 'Tb1 Dy1 Mn1'
_symmetry_space_group_name_H-M 'P 1'
_symmetry_Int_Tables_number 1
_cell_length_a 3.4883
_cell_length_b 3.4883
_cell_length_c 6.8132
_cell_angle_alpha 104.83
_cell_angle_beta 104.83
_cell_angle_gamma 90.00
loop_
_symmetry_equiv_pos_as_xyz
'x,y,z'
loop_
_atom_site_label
_atom_site_type_symbol
_atom_site_fract_x
_atom_site_fract_y
_atom_site_fract_z
Dy1 Dy 0.3028 0.3028 0.6056
Mn1 Mn 0.6672 0.6672 0.3344
Tb1 Tb 0.0300 0.0300 0.0600
```


No. 6
A plane-wave DFT calculation with GGA-PBE was carried out for an optimized crystal structure of TbDy2Mn.

Values from the calculation:
Energy relative to the lowest polymorph listed for this composition (kcal/mol of atoms): 0.00

CIF file:
```
data_TbDy2Mn
_chemical_formula_sum 'Tb1 Dy2 Mn1'
_symmetry_space_group_name_H-M 'P 1'
_symmetry_Int_Tables_number 1
_cell_length_a 3.5419
_cell_length_b 3.5419
_cell_length_c 8.6254
_cell_angle_alpha 90.00
_cell_angle_beta 90.00
_cell_angle_gamma 90.00
loop_
_symmetry_equiv_pos_as_xyz
'x,y,z'
loop_
_atom_site_label
_atom_site_type_symbol
_atom_site_fract_x
_atom_site_fract_y
_atom_site_fract_z
Tb1 Tb 0.5000 0.5000 0.5000
Dy1 Dy 0.0000 0.0000 0.2004
Mn1 Mn 0.5000 0.5000 0.0000
Dy2 Dy 0.0000 0.0000 0.7996
```


Number 1: total magnetization 3.6 μB per formula unit, energy of formation 5.76 kcal/mol of atoms. Number 2: total magnetization 3.2 μB per formula unit, energy of formation 5.26 kcal/mol of atoms. Number 3: total magnetization 3.1 μB per formula unit, energy of formation 11.82 kcal/mol of atoms. Number 4: total magnetization 1.6 μB per formula unit, energy of formation 3.70 kcal/mol of atoms. Number 5: total magnetization 2.7 μB per formula unit, energy of formation 3.58 kcal/mol of atoms. Number 6: total magnetization 3.7 μB per formula unit, energy of formation 2.91 kcal/mol of atoms.